1.
Below is a geometry-optimized NdSbPdAu structure, with properties calculated at the PBE-GGA level.

Properties
DFT total energy   -5.0269 eV per atom
Energy relative to the elements, uncorrected   -0.69 eV/atom

a = 5.0080 Å, b = 5.0080 Å, c = 5.0080 Å
α = 60.00°, β = 60.00°, γ = 60.00°
With the nearest neighbours (Å) after each atom.
Positions (direct):
Nd 0.2500 0.2500 0.2500  4 Pd 3.07, 4 Au 3.07
Au 0.5000 0.5000 0.5000  4 Sb 3.07, 4 Nd 3.07
Pd 0.0000 0.0000 0.0000  4 Sb 3.07, 4 Nd 3.07
Sb 0.7500 0.7500 0.7500  4 Pd 3.07, 4 Au 3.07


2.
Below is a geometry-optimized Nd3Si2Pd9Au structure, with properties calculated at the PBE-GGA level.

Properties
DFT total energy   -5.6219 eV per atom
Energy relative to the elements, uncorrected   -0.61 eV/atom

a = 5.7724 Å, b = 5.7724 Å, c = 10.8337 Å
α = 90.00°, β = 90.00°, γ = 120.00°
With the nearest neighbours (Å) after each atom.
Positions (direct):
Nd 0.3333 0.6667 0.6015  6 Pd 3.08
Nd 0.0000 0.0000 0.0000  6 Pd 2.89
Nd 0.6667 0.3333 0.3985  6 Pd 3.08
Si 0.3333 0.6667 0.1570  6 Pd 2.31-2.38
Si 0.6667 0.3333 0.8430  6 Pd 2.31-2.38
Pd 0.8377 0.1623 0.7002  1 Si 2.31
Pd 0.8377 0.6754 0.7002  1 Si 2.31
Pd 0.3246 0.1623 0.7002  1 Si 2.31
Pd 0.6754 0.8377 0.2998  1 Si 2.31
Pd 0.1623 0.3246 0.2998  1 Si 2.31
Pd 0.1623 0.8377 0.2998  1 Si 2.31
Pd 0.5000 0.0000 0.0000  2 Si 2.38
Pd 0.0000 0.5000 0.0000  2 Si 2.38
Pd 0.5000 0.5000 0.0000  2 Si 2.38
Au 0.0000 0.0000 0.5000  6 Pd 2.71


3.
Below is a geometry-optimized NdSmPdAu structure, with properties calculated at the PBE-GGA level.

Properties
Formation enthalpy at 0 K   -294 kJ/mol of formula units
DFT total energy   -5.2512 eV per atom

a = 5.1662 Å, b = 5.1662 Å, c = 5.1662 Å
α = 60.00°, β = 60.00°, γ = 60.00°
With the nearest neighbours (Å) after each atom.
Positions (direct):
Nd 0.7500 0.7500 0.7500  4 Au 3.16, 4 Pd 3.16
Au 0.0000 0.0000 0.0000  4 Sm 3.16, 4 Nd 3.16
Pd 0.5000 0.5000 0.5000  4 Sm 3.16, 4 Nd 3.16
Sm 0.2500 0.2500 0.2500  4 Pd 3.16, 4 Au 3.16


4.
Below is a geometry-optimized NdSmPdAu structure, with properties calculated at the PBE-GGA level.

Properties
Formation enthalpy at 0 K   -317 kJ/mol of formula units
DFT total energy   -5.3112 eV per atom

a = 3.8860 Å, b = 4.7476 Å, c = 5.8001 Å
α = 90.00°, β = 109.57°, γ = 90.00°
With the nearest neighbours (Å) after each atom.
Positions (direct):
Nd 0.1388 0.0000 0.2776  3 Pd 3.01-3.13, 4 Au 3.13
Sm 0.8635 0.5000 0.7270  3 Au 3.06-3.09, 4 Pd 3.12
Pd 0.4141 0.0000 0.8282  3 Nd 3.01-3.13, 2 Au 3.01, 4 Sm 3.12
Au 0.5836 0.5000 0.1673  2 Pd 3.01, 3 Sm 3.06-3.09, 4 Nd 3.13


5.
Below is a geometry-optimized Nd2Sn4PdAu3 structure, with properties calculated at the PBE-GGA level.

Properties
Formation enthalpy at 0 K   -573 kJ/mol of formula units
DFT total energy   -4.6506 eV per atom

a = 4.5776 Å, b = 4.5776 Å, c = 11.5054 Å
α = 90.00°, β = 90.00°, γ = 90.00°
With the nearest neighbours (Å) after each atom.
Positions (direct):
Nd 0.5000 0.0000 0.2716  4 Sn 3.44, 2 Pd 3.48, 6 Au 3.48-3.56
Nd 0.0000 0.5000 0.7284  4 Sn 3.44, 2 Pd 3.48, 6 Au 3.48-3.56
Sn 0.5000 0.5000 0.0000  4 Au 2.82
Sn 0.0000 0.0000 0.0000  4 Au 2.82
Sn 0.5000 0.0000 0.6268  3 Au 2.64-2.71, 2 Pd 2.71
Sn 0.0000 0.5000 0.3732  3 Au 2.64-2.71, 2 Pd 2.71
Pd 0.5000 0.5000 0.5000  4 Sn 2.71
Au 0.0000 0.0000 0.5000  4 Sn 2.71
Au 0.5000 0.0000 0.8564  5 Sn 2.64-2.82
Au 0.0000 0.5000 0.1436  5 Sn 2.64-2.82


6.
Below is a geometry-optimized NdSnPdAu structure, with properties calculated at the PBE-GGA level.

Properties
Formation enthalpy at 0 K   -277 kJ/mol of formula units
DFT total energy   -5.0291 eV per atom

a = 4.9793 Å, b = 4.9793 Å, c = 4.9793 Å
α = 60.00°, β = 60.00°, γ = 60.00°
With the nearest neighbours (Å) after each atom.
Positions (direct):
Nd 0.7500 0.7500 0.7500  4 Au 3.05, 4 Pd 3.05
Au 0.5000 0.5000 0.5000  4 Sn 3.05, 4 Nd 3.05
Sn 0.2500 0.2500 0.2500  4 Pd 3.05, 4 Au 3.05
Pd 0.0000 0.0000 0.0000  4 Nd 3.05, 4 Sn 3.05


7.
Below is a geometry-optimized Nd2Sn4Pd3Au structure, with properties calculated at the PBE-GGA level.

Properties
Formation enthalpy at 0 K   -697 kJ/mol of formula units
DFT total energy   -5.1622 eV per atom

a = 4.5883 Å, b = 4.5883 Å, c = 10.9184 Å
α = 90.00°, β = 90.00°, γ = 90.00°
With the nearest neighbours (Å) after each atom.
Positions (direct):
Nd 0.5000 0.0000 0.2582  8 Sn 3.45-3.63, 2 Au 3.50, 6 Pd 3.50-3.54
Nd 0.0000 0.5000 0.7418  8 Sn 3.45-3.63, 6 Pd 3.50-3.54, 2 Au 3.50
Sn 0.5000 0.5000 0.0000  4 Pd 2.68
Sn 0.0000 0.0000 0.0000  4 Pd 2.68
Sn 0.5000 0.0000 0.6355  3 Pd 2.59-2.73, 2 Au 2.73
Sn 0.0000 0.5000 0.3645  3 Pd 2.59-2.73, 2 Au 2.73
Pd 0.0000 0.0000 0.5000  4 Sn 2.73
Pd 0.5000 0.0000 0.8725  5 Sn 2.59-2.68
Pd 0.0000 0.5000 0.1275  5 Sn 2.59-2.68
Au 0.5000 0.5000 0.5000  4 Sn 2.73


8.
Below is a geometry-optimized SrNdPdAu structure, with properties calculated at the PBE-GGA level.

Properties
Formation enthalpy at 0 K   -281 kJ/mol of formula units
DFT total energy   -4.4576 eV per atom

a = 4.0737 Å, b = 4.6474 Å, c = 6.0447 Å
α = 90.00°, β = 109.69°, γ = 90.00°
With the nearest neighbours (Å) after each atom.
Positions (direct):
Sr 0.1417 0.0000 0.2835  3 Pd 3.10-3.30, 4 Au 3.17
Nd 0.8662 0.5000 0.7324  4 Pd 3.14, 3 Au 3.16-3.28
Pd 0.4141 0.0000 0.8282  2 Au 2.98, 3 Sr 3.10-3.30, 4 Nd 3.14
Au 0.5779 0.5000 0.1559  2 Pd 2.98, 3 Nd 3.16-3.28, 4 Sr 3.17


9.
Below is a geometry-optimized SrNdPdAu structure, with properties calculated at the PBE-GGA level.

Properties
Formation enthalpy at 0 K   -258 kJ/mol of formula units
DFT total energy   -4.3975 eV per atom

a = 5.2523 Å, b = 5.2523 Å, c = 5.2523 Å
α = 60.00°, β = 60.00°, γ = 60.00°
With the nearest neighbours (Å) after each atom.
Positions (direct):
Nd 0.7500 0.7500 0.7500  4 Pd 3.22, 4 Au 3.22
Au 0.0000 0.0000 0.0000  4 Nd 3.22, 4 Sr 3.22
Pd 0.5000 0.5000 0.5000  4 Nd 3.22, 4 Sr 3.22
Sr 0.2500 0.2500 0.2500  4 Pd 3.22, 4 Au 3.22


10.
Below is a geometry-optimized NdTlPdAu structure, with properties calculated at the PBE-GGA level.

Properties
Formation enthalpy at 0 K   -211 kJ/mol of formula units
DFT total energy   -4.4485 eV per atom

a = 5.0235 Å, b = 5.0235 Å, c = 5.0235 Å
α = 60.00°, β = 60.00°, γ = 60.00°
With the nearest neighbours (Å) after each atom.
Positions (direct):
Nd 0.7500 0.7500 0.7500  4 Pd 3.08, 4 Au 3.08
Tl 0.2500 0.2500 0.2500  4 Au 3.08, 4 Pd 3.08
Au 0.0000 0.0000 0.0000  4 Tl 3.08, 4 Nd 3.08
Pd 0.5000 0.5000 0.5000  4 Tl 3.08, 4 Nd 3.08


11.
Below is a geometry-optimized NdTmPdAu structure, with properties calculated at the PBE-GGA level.

Properties
Formation enthalpy at 0 K   -330 kJ/mol of formula units
DFT total energy   -5.2825 eV per atom

a = 3.7927 Å, b = 4.7443 Å, c = 5.6722 Å
α = 90.00°, β = 109.53°, γ = 90.00°
With the nearest neighbours (Å) after each atom.
Positions (direct):
Nd 0.1405 0.0000 0.2809  3 Pd 2.91-3.09, 4 Au 3.10
Tm 0.8643 0.5000 0.7286  3 Au 3.01, 4 Pd 3.08
Pd 0.4125 0.0000 0.8250  3 Nd 2.91-3.09, 2 Au 2.99, 4 Tm 3.08
Au 0.5828 0.5000 0.1655  2 Pd 2.99, 3 Tm 3.01, 4 Nd 3.10


12.
Below is a geometry-optimized NdTmPdAu structure, with properties calculated at the PBE-GGA level.

Properties
Formation enthalpy at 0 K   -313 kJ/mol of formula units
DFT total energy   -5.2394 eV per atom

a = 5.0851 Å, b = 5.0851 Å, c = 5.0851 Å
α = 60.00°, β = 60.00°, γ = 60.00°
With the nearest neighbours (Å) after each atom.
Positions (direct):
Nd 0.7500 0.7500 0.7500  4 Pd 3.11, 4 Au 3.11
Tm 0.2500 0.2500 0.2500  4 Pd 3.11, 4 Au 3.11
Au 0.0000 0.0000 0.0000  4 Tm 3.11, 4 Nd 3.11
Pd 0.5000 0.5000 0.5000  4 Nd 3.11, 4 Tm 3.11


> What is the formula in the eighth record?

SrNdPdAu


> The highest DFT total energy belongs to which entry?

number 9


> Among the records above, which one has the highest DFT total energy?

number 9